1.
{
  "formula": "PmLuPb",
  "functional": "PBE",
  "state": "optimized geometry",
  "cell": [[5.056, -0.783, 0.837], [2.050, 1.041, 4.646], [1.549, -3.874, 3.077]],
  "species": ["Lu", "Pb", "Pm"],
  "fractional_positions": [[0.250, 0.250, 0.250], [0.000, 0.000, 0.000], [0.750, 0.750, 0.750]],
  "crystal_system": "cubic",
  "polymorph_energy_ev_per_atom": 0.000,
  "magnetic_moment_mub_per_cell": 0.0,
  "sg": "F-43m",
  "final_energy_ev_per_atom": -4.494
}

2.
{
  "formula": "PrLu2Pb7",
  "functional": "PBE",
  "state": "optimized geometry",
  "cell": [[10.105, 8.166, -0.185], [-10.562, -6.309, -4.181], [-2.720, 3.405, 1.734]],
  "species": ["Lu", "Lu", "Pb", "Pb", "Pb", "Pb", "Pb", "Pb", "Pb", "Pr"],
  "fractional_positions": [[0.809, 0.191, 0.000], [0.191, 0.809, 0.000], [0.601, 0.399, 0.000], [0.399, 0.601, 0.000], [0.898, 0.102, 0.500], [0.706, 0.294, 0.500], [0.500, 0.500, 0.500], [0.294, 0.706, 0.500], [0.102, 0.898, 0.500], [0.000, 0.000, 0.000]],
  "crystal_system": "orthorhombic",
  "magnetic_moment_mub_per_cell": 0.0,
  "sg": "Cmmm",
  "final_energy_ev_per_atom": -4.286
}

3.
{
  "formula": "PrLuPb",
  "functional": "PBE",
  "state": "optimized geometry",
  "cell": [[0.000, 3.696, 3.696], [3.696, 0.000, 3.696], [3.696, 3.696, 0.000]],
  "species": ["Lu", "Pb", "Pr"],
  "fractional_positions": [[0.250, 0.250, 0.250], [0.000, 0.000, 0.000], [0.750, 0.750, 0.750]],
  "crystal_system": "cubic",
  "polymorph_energy_ev_per_atom": 0.000,
  "magnetic_moment_mub_per_cell": 0.0,
  "sg": "F-43m",
  "final_energy_ev_per_atom": -4.506
}

4.
{
  "formula": "PrLuTe3Pb",
  "functional": "PBE",
  "state": "optimized geometry",
  "cell": [[-6.718, 4.312, 0.326], [3.867, -6.193, -3.243], [-4.216, -7.232, 8.786]],
  "species": ["Lu", "Lu", "Pb", "Pb", "Pr", "Pr", "Te", "Te", "Te", "Te", "Te", "Te"],
  "fractional_positions": [[0.471, 0.529, 0.250], [0.529, 0.471, 0.750], [0.801, 0.199, 0.250], [0.199, 0.801, 0.750], [0.000, 0.000, 0.000], [0.000, 0.000, 0.500], [0.355, 0.645, 0.054], [0.095, 0.905, 0.250], [0.355, 0.645, 0.446], [0.645, 0.355, 0.554], [0.905, 0.095, 0.750], [0.645, 0.355, 0.946]],
  "crystal_system": "orthorhombic",
  "magnetic_moment_mub_per_cell": 0.4,
  "sg": "Cmcm",
  "final_energy_ev_per_atom": -4.624
}

5.
{
  "formula": "LuPt2Pb",
  "functional": "PBE",
  "state": "optimized geometry",
  "cell": [[1.521, -2.958, -3.480], [-0.050, -4.763, 0.698], [-3.160, -2.747, -2.375]],
  "species": ["Lu", "Pb", "Pt", "Pt"],
  "fractional_positions": [[0.250, 0.250, 0.250], [0.500, 0.500, 0.500], [0.000, 0.000, 0.000], [0.750, 0.750, 0.750]],
  "crystal_system": "cubic",
  "magnetic_moment_mub_per_cell": 0.0,
  "sg": "F-43m",
  "final_energy_ev_per_atom": -5.584
}

6.
{
  "formula": "LuPtPb2",
  "functional": "PBE",
  "state": "optimized geometry",
  "cell": [[-2.405, -4.202, -1.690], [-2.054, -3.299, 3.346], [-5.097, -0.383, 0.424]],
  "species": ["Lu", "Pb", "Pb", "Pt"],
  "fractional_positions": [[0.250, 0.250, 0.250], [0.000, 0.000, 0.000], [0.750, 0.750, 0.750], [0.500, 0.500, 0.500]],
  "crystal_system": "cubic",
  "magnetic_moment_mub_per_cell": 0.0,
  "sg": "F-43m",
  "final_energy_ev_per_atom": -4.748
}

Number 5 is which compound?
LuPt2Pb

Repeat the fifth record exactly.
{
  "formula": "LuPt2Pb",
  "functional": "PBE",
  "state": "optimized geometry",
  "cell": [[1.521, -2.958, -3.480], [-0.050, -4.763, 0.698], [-3.160, -2.747, -2.375]],
  "species": ["Lu", "Pb", "Pt", "Pt"],
  "fractional_positions": [[0.250, 0.250, 0.250], [0.500, 0.500, 0.500], [0.000, 0.000, 0.000], [0.750, 0.750, 0.750]],
  "crystal_system": "cubic",
  "magnetic_moment_mub_per_cell": 0.0,
  "sg": "F-43m",
  "final_energy_ev_per_atom": -5.584
}